Entry 1:
! Pm8Pr4Ho | Alexandria via LeMat-Bulk | PBE | relaxed; values from VASP
&SYSTEM
  ibrav = 0, nat = 13, ntyp = 3
/
ATOMIC_SPECIES
Pm 145.00 Pm.upf
Ho 164.93 Ho.upf
Pr 140.91 Pr.upf
ATOMIC_POSITIONS angstrom
Pm -0.153 -2.701 -1.911
Pm -0.084 -2.701 10.152
Pm -0.313 -4.723 4.670
Pm -2.742 -1.524 0.677
Pm -0.382 -4.724 -7.393
Ho -0.012 -1.756 6.682
Pm 2.357 -7.810 -3.250
Pr -0.221 -1.956 -5.302
Pr 0.000 0.000 0.000
Pm 2.277 -5.900 2.082
Pr 2.427 -4.942 -1.295
Pm -2.822 0.386 6.009
Pr 2.649 -2.986 4.007
CELL_PARAMETERS angstrom
-0.442 -3.912 -10.605
5.297 -5.971 8.015
-5.320 2.459 5.348
! Volume, Å³/f.u.: 499.3
! Calculated density, Mg/m³: 6.28
! Space group: R-3m
! Calculated formation energy, eV per atom: 0.483


Entry 2:
! La2ErPb3 | Alexandria via LeMat-Bulk | PBE | relaxed; values from VASP
&SYSTEM
  ibrav = 0, nat = 12, ntyp = 3
/
ATOMIC_SPECIES
La 138.91 La.upf
Pb 207.20 Pb.upf
Er 167.26 Er.upf
ATOMIC_POSITIONS angstrom
La 0.906 -5.259 2.019
Pb -2.701 -1.889 -1.924
La 1.912 -7.530 -0.820
Pb 1.200 -4.258 -1.183
Pb -1.631 -4.144 -4.753
Pb 0.194 -1.987 1.656
La -1.938 -5.099 -1.592
Pb -2.233 -6.100 1.609
Er 0.454 -1.147 -1.427
Pb -1.226 -8.371 -1.230
La -2.945 -2.829 1.247
Er -4.785 -4.886 -5.250
CELL_PARAMETERS angstrom
-6.297 -1.480 -0.991
1.965 -4.553 -5.686
3.299 -4.325 7.103
! Volume, Å³/f.u.: 200.2
! Calculated density, Mg/m³: 8.85
! Space group: C2/c
! Energy relative to the lowest polymorph listed for this composition, meV/atom: 88
! Calculated formation energy, eV per atom: -0.429


Entry 3:
! HS | Alexandria via LeMat-Bulk | PBE | relaxed; values from VASP
&SYSTEM
  ibrav = 0, nat = 8, ntyp = 2
/
ATOMIC_SPECIES
S 32.06 S.upf
H 1.01 H.upf
ATOMIC_POSITIONS angstrom
S 0.595 -3.929 -2.863
H 0.541 -1.942 -0.013
S 1.161 -1.094 -1.211
S 3.780 -3.056 -0.597
S 3.734 -3.517 -3.894
H 1.349 -2.607 -3.334
H 3.834 -5.043 -3.447
H 3.547 -2.005 -1.771
CELL_PARAMETERS angstrom
-0.909 -3.225 -4.941
5.805 -1.386 -0.164
-0.520 -2.374 1.645
! Volume, Å³/f.u.: 26.2
! Calculated density, Mg/m³: 2.10
! Space group: P4_2/mnm
! Energy relative to the lowest polymorph listed for this composition, meV/atom: 743


Entry 4:
! KSc2Cd | Alexandria via LeMat-Bulk | PBE | relaxed; values from VASP
&SYSTEM
  ibrav = 0, nat = 4, ntyp = 3
/
ATOMIC_SPECIES
K 39.10 K.upf
Sc 44.96 Sc.upf
Cd 112.41 Cd.upf
ATOMIC_POSITIONS angstrom
K -2.371 1.299 2.211
Sc 0.416 -0.552 3.213
Cd -2.384 -1.941 1.657
Sc 0.000 0.000 0.000
CELL_PARAMETERS angstrom
-5.172 -0.090 0.655
0.403 -3.791 2.659
0.430 2.688 3.768
! Volume, Å³/f.u.: 112.6
! Calculated density, Mg/m³: 3.56
! Space group: P4/mmm
! Calculated formation energy, eV per atom: 0.446


Entry 5:
! ZnNi2Br | Alexandria via LeMat-Bulk | PBE | relaxed; values from VASP
&SYSTEM
  ibrav = 0, nat = 8, ntyp = 3
/
ATOMIC_SPECIES
Ni 58.69 Ni.upf
Zn 65.41 Zn.upf
Br 79.90 Br.upf
ATOMIC_POSITIONS angstrom
Ni 5.037 5.066 5.934
Zn 2.015 2.015 0.000
Ni 0.978 3.022 1.978
Ni 3.051 1.007 1.978
Br 4.030 2.015 3.956
Zn 2.015 4.030 3.956
Br 0.000 0.000 0.000
Ni 3.022 2.993 5.934
CELL_PARAMETERS angstrom
4.030 0.000 0.000
0.000 4.030 0.000
2.015 2.015 7.911
! Volume, Å³/f.u.: 64.2
! Calculated density, Mg/m³: 6.79
! Space group: I-42d
! Energy relative to the lowest polymorph listed for this composition, meV/atom: 319
! ΔE_f (raw), eV/f.u.: 1.7


Entry 6:
! PmCdGa | Alexandria via LeMat-Bulk | PBE | relaxed; values from VASP
&SYSTEM
  ibrav = 0, nat = 6, ntyp = 3
/
ATOMIC_SPECIES
Pm 145.00 Pm.upf
Ga 69.72 Ga.upf
Cd 112.41 Cd.upf
ATOMIC_POSITIONS angstrom
Pm -1.748 0.061 -0.893
Pm -6.688 -1.885 -0.337
Ga -7.392 0.538 1.637
Ga -1.044 -2.362 -2.866
Cd -4.753 0.368 1.473
Cd -3.683 -2.191 -2.703
CELL_PARAMETERS angstrom
-0.285 -0.191 -4.039
-0.278 -4.527 0.234
-7.872 2.894 2.576
! Volume, Å³/f.u.: 75.5
! Calculated density, Mg/m³: 7.20
! Space group: C2/m
! Energy relative to the lowest polymorph listed for this composition, meV/atom: 61
! Calculated formation energy, eV per atom: -0.469


Entry 7:
! LaZr3Os | Alexandria via LeMat-Bulk | PBE | relaxed; values from VASP
&SYSTEM
  ibrav = 0, nat = 5, ntyp = 3
/
ATOMIC_SPECIES
Zr 91.22 Zr.upf
Os 190.23 Os.upf
La 138.91 La.upf
ATOMIC_POSITIONS angstrom
Zr 0.000 0.000 2.501
Os 2.501 2.501 2.501
La 0.000 0.000 0.000
Zr 0.000 2.501 0.000
Zr 2.501 0.000 0.000
CELL_PARAMETERS angstrom
5.003 0.000 0.000
0.000 5.003 0.000
0.000 0.000 5.003
! Volume, Å³/f.u.: 125.2
! Calculated density, Mg/m³: 8.00
! Space group: Pm-3m
! Energy relative to the lowest polymorph listed for this composition, meV/atom: 1724
! Calculated formation energy, eV per atom: 1.856


Entry 8:
! Ga4Co3Cu | Alexandria via LeMat-Bulk | PBE | relaxed; values from VASP
&SYSTEM
  ibrav = 0, nat = 8, ntyp = 3
/
ATOMIC_SPECIES
Co 58.93 Co.upf
Ga 69.72 Ga.upf
Cu 63.55 Cu.upf
ATOMIC_POSITIONS angstrom
Co 1.443 1.443 5.972
Ga 0.000 0.000 1.637
Co 1.443 1.443 8.869
Ga 0.000 0.000 10.307
Ga 0.000 0.000 7.422
Ga 0.000 0.000 4.522
Cu 1.443 1.443 0.000
Co 1.443 1.443 3.075
CELL_PARAMETERS angstrom
2.886 0.000 0.000
0.000 2.886 0.000
0.000 0.000 11.944
! Volume, Å³/f.u.: 99.5
! Calculated density, Mg/m³: 8.67
! Space group: P4/mmm
! Calculated formation energy, eV per atom: -0.209


Entry 9:
! Ga5Pt | Alexandria via LeMat-Bulk | PBE | relaxed; values from VASP
&SYSTEM
  ibrav = 0, nat = 48, ntyp = 2
/
ATOMIC_SPECIES
Ga 69.72 Ga.upf
Pt 195.08 Pt.upf
ATOMIC_POSITIONS angstrom
Ga 7.030 3.311 1.152
Ga 10.665 6.804 2.218
Ga 7.071 4.889 5.359
Ga 10.669 8.409 6.507
Ga 5.269 6.819 4.629
Ga 0.916 4.889 5.359
Pt 14.460 2.525 1.448
Ga 3.993 5.115 1.838
Ga 2.642 4.888 7.717
Pt 9.512 4.118 5.651
Ga 8.903 4.705 3.029
Ga 13.294 6.804 2.218
Ga 0.005 7.586 2.989
Ga 5.305 1.185 1.881
Ga 15.057 4.705 3.029
Ga 9.098 3.657 8.186
Ga 10.628 4.706 0.671
Pt 1.525 5.475 2.737
Pt 1.514 7.068 6.940
Ga 14.861 3.657 8.186
Ga 2.682 1.185 1.881
Ga 13.256 2.775 3.759
Ga 6.875 5.936 0.202
Ga 0.956 3.311 1.152
Pt 6.473 7.068 6.940
Ga 5.345 4.888 7.717
Ga 10.704 2.775 3.759
Ga 5.353 3.271 3.557
Ga 7.992 2.007 5.399
Ga 8.943 6.283 7.236
Ga 13.291 8.409 6.507
Ga 13.339 6.323 4.831
Ga 11.980 2.234 0.534
Ga 2.717 6.819 4.629
Ga 10.621 6.323 4.831
Ga 3.993 7.359 7.854
Pt 14.448 4.118 5.651
Ga 13.332 4.706 0.671
Ga 7.981 7.586 2.989
Ga 15.017 6.283 7.236
Ga 11.980 4.479 6.550
Pt 9.500 2.525 1.448
Ga 5.308 2.789 6.170
Ga 15.968 2.007 5.399
Pt 6.462 5.475 2.737
Ga 1.112 5.936 0.202
Ga 2.679 2.789 6.170
Ga 2.634 3.271 3.557
CELL_PARAMETERS angstrom
15.973 0.000 0.000
0.000 6.498 -0.008
0.000 3.095 8.396
! Volume, Å³/f.u.: 109.0
! Calculated density, Mg/m³: 8.28
! Space group: P2_1/m
! Calculated formation energy, eV per atom: -0.323


Entry 10:
! RbCdHgSb | Alexandria via LeMat-Bulk | PBE | relaxed; values from VASP
&SYSTEM
  ibrav = 0, nat = 4, ntyp = 4
/
ATOMIC_SPECIES
Rb 85.47 Rb.upf
Hg 200.59 Hg.upf
Sb 121.76 Sb.upf
Cd 112.41 Cd.upf
ATOMIC_POSITIONS angstrom
Rb 2.454 1.561 3.544
Hg 0.000 3.373 1.577
Sb 2.454 3.849 6.660
Cd 0.000 2.398 6.727
CELL_PARAMETERS angstrom
4.907 0.000 0.000
-2.454 4.169 0.796
0.000 1.440 7.588
! Volume, Å³/f.u.: 149.6
! Calculated density, Mg/m³: 5.77
! Space group: Cm
! ΔE_f (raw), eV/f.u.: -1.0


Entry 11:
! Ga2TeRu | Alexandria via LeMat-Bulk | PBE | relaxed; values from VASP
&SYSTEM
  ibrav = 0, nat = 8, ntyp = 3
/
ATOMIC_SPECIES
Ru 101.07 Ru.upf
Ga 69.72 Ga.upf
Te 127.60 Te.upf
ATOMIC_POSITIONS angstrom
Ru 3.014 6.028 2.944
Ru 3.014 3.014 0.000
Ga 4.197 1.507 1.472
Ga 4.521 4.845 4.416
Ga 7.535 7.211 4.416
Ga 1.831 4.521 1.472
Te 0.000 0.000 0.000
Te 6.028 3.014 2.944
CELL_PARAMETERS angstrom
6.028 0.000 0.000
0.000 6.028 0.000
3.014 3.014 5.888
! Volume, Å³/f.u.: 107.0
! Calculated density, Mg/m³: 5.71
! Space group: I-42d
! ΔE_f (raw), eV/f.u.: 1.3


Entry 12:
! SrDyHgBi | Alexandria via LeMat-Bulk | PBE | relaxed; values from VASP
&SYSTEM
  ibrav = 0, nat = 4, ntyp = 4
/
ATOMIC_SPECIES
Hg 200.59 Hg.upf
Dy 162.50 Dy.upf
Sr 87.62 Sr.upf
Bi 208.98 Bi.upf
ATOMIC_POSITIONS angstrom
Hg -0.660 -6.181 8.121
Dy 0.000 0.000 0.000
Sr -0.440 -4.120 5.414
Bi -0.220 -2.060 2.707
CELL_PARAMETERS angstrom
-3.353 -3.394 2.868
2.070 -4.569 2.415
0.403 -0.278 5.545
! Volume, Å³/f.u.: 122.0
! Calculated density, Mg/m³: 8.98
! Space group: F-43m
! Calculated formation energy, eV per atom: -0.504


Entry 13:
! MgBeB3 | Alexandria via LeMat-Bulk | PBE | relaxed; values from VASP
&SYSTEM
  ibrav = 0, nat = 20, ntyp = 3
/
ATOMIC_SPECIES
Mg 24.30 Mg.upf
Be 9.01 Be.upf
B 10.81 B.upf
ATOMIC_POSITIONS angstrom
Mg 0.731 5.340 4.397
Be 2.194 3.305 5.481
Be 0.731 8.512 3.448
Mg 0.731 10.281 1.420
B 0.731 1.839 5.612
B 2.194 1.673 0.617
B 0.731 6.880 2.360
B 2.194 8.575 0.341
B 2.194 7.406 4.999
Be 0.731 7.109 0.472
B 0.731 8.741 5.336
B 2.194 3.534 3.593
Mg 2.194 0.133 4.533
B 0.731 3.008 0.954
B 2.194 7.046 3.318
B 0.731 3.368 2.635
B 0.731 2.199 3.931
Be 2.194 1.902 2.505
Mg 2.194 5.074 1.556
B 2.194 8.215 2.023
CELL_PARAMETERS angstrom
2.926 0.000 0.000
0.000 10.414 0.000
0.000 0.000 5.953
! Volume, Å³/f.u.: 45.3
! Calculated density, Mg/m³: 2.41
! Space group: Pnma
! Energy relative to the lowest polymorph listed for this composition, meV/atom: 0
! Calculated formation energy, eV per atom: 0.114


Entry 14:
! TbDyPuZn | Alexandria via LeMat-Bulk | PBE | relaxed; values from VASP
&SYSTEM
  ibrav = 0, nat = 4, ntyp = 4
/
ATOMIC_SPECIES
Pu 244.00 Pu.upf
Zn 65.41 Zn.upf
Tb 158.93 Tb.upf
Dy 162.50 Dy.upf
ATOMIC_POSITIONS angstrom
Pu 2.644 1.526 1.079
Zn 7.931 4.579 3.238
Tb 5.287 3.053 2.159
Dy 0.000 0.000 0.000
CELL_PARAMETERS angstrom
5.287 0.000 0.000
2.644 4.579 0.000
2.644 1.526 4.317
! Volume, Å³/f.u.: 104.5
! Calculated density, Mg/m³: 10.02
! Space group: F-43m
! Calculated formation energy, eV per atom: 0.124


Entry 15:
! Tl2CoSe | Alexandria via LeMat-Bulk | PBE | relaxed; values from VASP
&SYSTEM
  ibrav = 0, nat = 4, ntyp = 3
/
ATOMIC_SPECIES
Tl 204.38 Tl.upf
Se 78.96 Se.upf
Co 58.93 Co.upf
ATOMIC_POSITIONS angstrom
Tl 0.000 0.000 0.000
Se 2.742 0.000 1.611
Tl 0.847 2.607 1.611
Co 3.589 2.607 0.000
CELL_PARAMETERS angstrom
5.483 0.000 0.000
1.695 5.215 0.000
-3.589 -2.607 3.223
! Volume, Å³/f.u.: 92.1
! Calculated density, Mg/m³: 9.85
! Space group: I-4m2
! Energy relative to the lowest polymorph listed for this composition, meV/atom: 492
! ΔE_f (raw), eV/f.u.: 2.0


Entry 16:
! Li2ScHg | Alexandria via LeMat-Bulk | PBE | relaxed; values from VASP
&SYSTEM
  ibrav = 0, nat = 4, ntyp = 3
/
ATOMIC_SPECIES
Sc 44.96 Sc.upf
Li 6.94 Li.upf
Hg 200.59 Hg.upf
ATOMIC_POSITIONS angstrom
Sc 1.735 1.735 1.609
Li 0.000 0.000 3.443
Hg 1.735 1.735 4.827
Li 0.000 0.000 6.211
CELL_PARAMETERS angstrom
3.470 0.000 0.000
0.000 3.470 0.000
0.000 0.000 6.436
! Volume, Å³/f.u.: 77.5
! Calculated density, Mg/m³: 5.56
! Space group: P4/mmm
! Calculated formation energy, eV per atom: -0.101


Entry 17:
! RbNiHg2 | Alexandria via LeMat-Bulk | PBE | relaxed; values from VASP
&SYSTEM
  ibrav = 0, nat = 8, ntyp = 3
/
ATOMIC_SPECIES
Hg 200.59 Hg.upf
Ni 58.69 Ni.upf
Rb 85.47 Rb.upf
ATOMIC_POSITIONS angstrom
Hg -5.794 0.662 -0.474
Ni -3.994 -0.783 -1.499
Hg -8.774 4.111 -0.609
Ni -7.646 2.112 0.444
Hg -10.228 4.217 -3.310
Rb 0.000 0.000 0.000
Rb -6.353 3.178 -3.557
Hg -3.203 1.592 -1.832
CELL_PARAMETERS angstrom
-2.702 0.283 -5.499
-5.286 -1.849 2.502
-6.011 6.857 -0.115
! Volume, Å³/f.u.: 150.9
! Calculated density, Mg/m³: 6.00
! Space group: I-42d
! Energy relative to the lowest polymorph listed for this composition, meV/atom: 0
! Calculated formation energy, eV per atom: 0.128


Entry 18:
! HfGaPt2W | Alexandria via LeMat-Bulk | PBE | relaxed; values from VASP
&SYSTEM
  ibrav = 0, nat = 5, ntyp = 4
/
ATOMIC_SPECIES
Ga 69.72 Ga.upf
Pt 195.08 Pt.upf
Hf 178.49 Hf.upf
W 183.84 W.upf
ATOMIC_POSITIONS angstrom
Ga 0.813 -3.077 -2.831
Pt -1.153 -0.278 -2.132
Pt 2.143 -0.343 -1.114
Hf -0.177 -2.456 0.416
W 0.000 0.000 0.000
CELL_PARAMETERS angstrom
-2.306 -0.555 -4.263
4.285 -0.686 -2.229
-0.354 -4.912 0.831
! Volume, Å³/f.u.: 118.9
! Calculated density, Mg/m³: 11.48
! Space group: P4/mmm
! Calculated formation energy, eV per atom: 0.918


Entry 19:
! Ce2Th2Sc | Alexandria via LeMat-Bulk | PBE | relaxed; values from VASP
&SYSTEM
  ibrav = 0, nat = 10, ntyp = 3
/
ATOMIC_SPECIES
Ce 140.12 Ce.upf
Sc 44.96 Sc.upf
Th 232.04 Th.upf
ATOMIC_POSITIONS angstrom
Ce 3.540 5.162 1.092
Ce 6.289 5.403 0.899
Sc 3.614 2.426 2.911
Sc 1.802 7.853 5.999
Th 1.981 5.074 4.328
Ce 5.096 8.132 5.594
Th 6.887 2.711 2.542
Ce 5.114 5.356 4.197
Th 1.594 2.203 0.018
Th 4.996 2.493 -0.545
CELL_PARAMETERS angstrom
6.695 0.578 -0.777
-0.493 5.498 -0.088
2.241 3.080 7.460
! Volume, Å³/f.u.: 144.6
! Calculated density, Mg/m³: 9.07
! Space group: P1
! Calculated formation energy, eV per atom: 0.088


Entry 20:
! Cs3TlAg2Br6 | Alexandria via LeMat-Bulk | PBE | relaxed; values from VASP
&SYSTEM
  ibrav = 0, nat = 12, ntyp = 4
/
ATOMIC_SPECIES
Br 79.90 Br.upf
Cs 132.91 Cs.upf
Ag 107.87 Ag.upf
Tl 204.38 Tl.upf
ATOMIC_POSITIONS angstrom
Br -2.221 6.330 2.652
Br 4.371 5.088 6.807
Br 6.592 1.242 6.807
Br 2.221 6.330 2.652
Br 0.000 2.483 2.652
Cs 4.371 2.524 3.469
Br 2.150 1.242 6.807
Cs 0.000 5.048 5.989
Ag 4.371 2.524 7.191
Tl 0.000 0.000 4.729
Ag 0.000 5.048 2.268
Cs 0.000 0.000 0.000
CELL_PARAMETERS angstrom
8.743 0.000 0.000
-4.371 7.571 0.000
0.000 0.000 9.459
! Volume, Å³/f.u.: 626.1
! Calculated density, Mg/m³: 3.44
! Space group: P-3m1
! ΔE_f (raw), eV/f.u.: -13.0


Entry 21:
! MoIrPb2 | Alexandria via LeMat-Bulk | PBE | relaxed; values from VASP
&SYSTEM
  ibrav = 0, nat = 4, ntyp = 3
/
ATOMIC_SPECIES
Pb 207.20 Pb.upf
Ir 192.22 Ir.upf
Mo 95.94 Mo.upf
ATOMIC_POSITIONS angstrom
Pb -1.588 -2.446 0.732
Ir -3.175 -4.892 1.464
Mo -4.763 -7.338 2.196
Pb 0.000 0.000 0.000
CELL_PARAMETERS angstrom
-4.521 -1.792 0.671
-1.010 -4.642 -1.238
-0.819 -3.350 3.494
! Volume, Å³/f.u.: 83.7
! Calculated density, Mg/m³: 13.94
! Space group: F-43m
! Energy relative to the lowest polymorph listed for this composition, meV/atom: 608
! Calculated formation energy, eV per atom: 0.824


Entry 22:
! Na4Tm3AlS8 | Alexandria via LeMat-Bulk | PBE | relaxed; values from VASP
&SYSTEM
  ibrav = 0, nat = 16, ntyp = 4
/
ATOMIC_SPECIES
Na 22.99 Na.upf
S 32.06 S.upf
Tm 168.93 Tm.upf
Al 26.98 Al.upf
ATOMIC_POSITIONS angstrom
Na 0.000 0.000 0.000
S 0.009 -3.637 5.032
S -1.775 -4.158 -4.401
Tm -0.883 -3.897 0.316
Na -1.498 0.623 3.494
S 1.598 -4.302 1.323
Tm 1.259 -2.256 3.065
S 0.501 -2.414 -1.479
S -2.267 -5.381 2.111
Na -2.142 -1.641 -2.749
Tm 0.615 -4.520 -3.179
S -3.364 -3.492 -0.692
S -1.140 -1.782 1.952
Al 2.757 -2.879 -0.429
Na -3.640 -1.018 0.745
S -0.626 -6.013 -1.321
CELL_PARAMETERS angstrom
-4.284 -3.282 -5.498
5.514 -5.758 -0.859
-2.996 1.246 6.988
! Volume, Å³/f.u.: 342.9
! Calculated density, Mg/m³: 4.27
! Space group: R-3m
! ΔE_f (raw), eV/f.u.: -26.4


Entry 23:
! VFeAs | Alexandria via LeMat-Bulk | PBE | relaxed; values from VASP
&SYSTEM
  ibrav = 0, nat = 3, ntyp = 3
/
ATOMIC_SPECIES
As 74.92 As.upf
Fe 55.84 Fe.upf
V 50.94 V.upf
ATOMIC_POSITIONS angstrom
As 1.620 1.620 0.901
Fe 1.620 1.620 3.420
V 0.000 0.000 2.152
CELL_PARAMETERS angstrom
3.241 0.000 0.000
0.000 3.241 0.000
-1.620 -1.620 3.807
! Volume, Å³/f.u.: 40.0
! Calculated density, Mg/m³: 7.55
! Space group: I4mm
! Calculated formation energy, eV per atom: -0.056